Entry 1:
Compound: K2PtS4
Source: Alexandria
Functional: PBE-GGA
Structure: optimized geometry

Structure (POSCAR):
```
K2PtS4
1.0
-4.628 0.945 1.431
-1.026 -4.825 -0.133
-0.648 -2.610 8.140
S Pt K
4 1 2
direct
0.000 0.500 0.000
0.500 0.000 0.000
0.853 0.853 0.295
0.147 0.147 0.705
0.000 0.000 0.000
0.642 0.642 0.716
0.358 0.358 0.284
```

Values from the calculation:
Size of the total moment, μB per cell: 2.70
Energy relative to the elements, uncorrected, eV/atom: -0.28
Calculated total energy, eV/atom: -3.820

---

Entry 2:
Compound: KPt3S
Source: Alexandria
Functional: PBE-GGA
Structure: optimized geometry

Structure (POSCAR):
```
KPt3S
1.0
4.657 0.000 0.000
0.000 4.657 0.000
0.000 0.000 4.657
Pt K S
3 1 1
direct
0.000 0.500 0.000
0.000 0.000 0.500
0.500 0.000 0.000
0.500 0.500 0.500
0.000 0.000 0.000
```

Values from the calculation:
Size of the total moment, μB per cell: 0.00
Polymorph energy (0 for the lowest one), eV/f.u.: 0.00
Energy relative to the elements, uncorrected, eV/atom: 0.12
Calculated total energy, eV/atom: -4.550

---

Entry 3:
Compound: K2PtS15
Source: Alexandria
Functional: PBE-GGA
Structure: optimized geometry

Structure (POSCAR):
```
K2PtS15
1.0
9.055 -0.776 0.334
3.002 8.578 0.334
0.581 0.376 13.638
Pt S K
2 30 4
direct
0.785 0.193 0.756
0.193 0.785 0.256
0.121 0.411 0.852
0.462 0.516 0.701
0.147 0.541 0.316
0.563 0.047 0.954
0.235 0.507 0.068
0.465 0.683 0.235
0.461 0.469 0.553
0.833 0.896 0.403
0.817 0.673 0.438
0.683 0.465 0.735
0.902 0.432 0.920
0.410 0.077 0.206
0.469 0.461 0.053
0.077 0.410 0.706
0.041 0.201 0.691
0.920 0.905 0.262
0.733 0.155 0.589
0.852 0.226 0.921
0.201 0.041 0.191
0.896 0.833 0.903
0.226 0.852 0.421
0.516 0.462 0.201
0.905 0.920 0.762
0.411 0.121 0.352
0.047 0.563 0.454
0.432 0.902 0.420
0.155 0.733 0.089
0.507 0.235 0.568
0.541 0.147 0.816
0.673 0.817 0.938
0.821 0.637 0.162
0.197 0.033 0.932
0.637 0.821 0.662
0.033 0.197 0.432
```

Values from the calculation:
Size of the total moment, μB per cell: 0.00
Energy relative to the elements, uncorrected, eV/atom: -0.28
Calculated total energy, eV/atom: -4.180

---

Entry 4:
Compound: KPt2S2
Source: Alexandria
Functional: PBE-GGA
Structure: optimized geometry

Structure (POSCAR):
```
KPt2S2
1.0
4.672 0.000 0.000
0.000 4.672 0.000
2.336 2.336 5.365
Pt S K
2 2 1
direct
0.695 0.695 0.610
0.305 0.305 0.390
0.250 0.750 0.500
0.750 0.250 0.500
0.000 0.000 0.000
```

Values from the calculation:
Size of the total moment, μB per cell: 0.00
Polymorph energy (0 for the lowest one), eV/f.u.: 0.00
Energy relative to the elements, uncorrected, eV/atom: -0.41
Calculated total energy, eV/atom: -4.695

---

Entry 5:
Compound: K5PtS4
Source: Alexandria
Functional: PBE-GGA
Structure: optimized geometry

Structure (POSCAR):
```
K5PtS4
1.0
-3.932 -0.735 -2.076
0.052 -6.914 2.349
-2.407 2.574 8.539
S K Pt
4 5 1
direct
0.971 0.208 0.943
0.371 0.887 0.743
0.029 0.792 0.057
0.629 0.113 0.257
0.874 0.625 0.747
0.500 0.500 0.000
0.812 0.124 0.624
0.126 0.375 0.253
0.188 0.876 0.376
0.500 0.000 0.000
```

Values from the calculation:
Size of the total moment, μB per cell: 0.00
Energy relative to the elements, uncorrected, eV/atom: -0.58
Calculated total energy, eV/atom: -3.387

---

Entry 6:
Compound: K3PtS
Source: Alexandria
Functional: PBE-GGA
Structure: optimized geometry

Structure (POSCAR):
```
K3PtS
1.0
6.005 0.000 0.000
0.000 6.005 0.000
0.000 0.000 6.005
Pt K S
1 3 1
direct
0.000 0.000 0.000
0.500 0.000 0.000
0.000 0.500 0.000
0.000 0.000 0.500
0.500 0.500 0.500
```

Values from the calculation:
Size of the total moment, μB per cell: 1.00
Energy relative to the elements, uncorrected, eV/atom: 0.01
Calculated total energy, eV/atom: -2.680

---

Entry 7:
Compound: KPtS3
Source: Alexandria
Functional: PBE-GGA
Structure: optimized geometry

Structure (POSCAR):
```
KPtS3
1.0
5.266 0.000 0.000
0.000 5.266 0.000
0.000 0.000 5.266
Pt S K
1 3 1
direct
0.500 0.500 0.500
0.500 0.000 0.000
0.000 0.500 0.000
0.000 0.000 0.500
0.000 0.000 0.000
```

Values from the calculation:
Size of the total moment, μB per cell: 0.15
Polymorph energy (0 for the lowest one), eV/f.u.: 11.50
Energy relative to the elements, uncorrected, eV/atom: 1.91
Calculated total energy, eV/atom: -1.996

---

Entry 8:
Compound: K2PtS6
Source: Alexandria
Functional: PBE-GGA
Structure: optimized geometry

Structure (POSCAR):
```
K2PtS6
1.0
7.135 0.003 0.501
3.549 6.190 0.501
0.370 0.215 5.536
S Pt K
6 1 2
direct
0.160 0.160 0.192
0.394 0.773 0.947
0.606 0.227 0.053
0.227 0.606 0.053
0.840 0.840 0.808
0.773 0.394 0.947
0.000 0.000 0.000
0.706 0.706 0.362
0.294 0.294 0.638
```

Values from the calculation:
Size of the total moment, μB per cell: 0.00
Polymorph energy (0 for the lowest one), eV/f.u.: 0.52
Energy relative to the elements, uncorrected, eV/atom: -0.22
Calculated total energy, eV/atom: -3.888

---

Entry 9:
Compound: K2PtS6
Source: Alexandria
Functional: PBE-GGA
Structure: optimized geometry

Structure (POSCAR):
```
K2PtS6
1.0
-2.208 5.439 -2.831
0.645 -3.637 -5.369
-5.159 -2.963 4.797
S K Pt
6 2 1
direct
0.813 0.813 0.626
0.150 0.356 0.000
0.187 0.187 0.374
0.356 0.150 0.000
0.850 0.644 0.000
0.644 0.850 0.000
0.750 0.249 0.500
0.250 0.751 0.500
0.000 0.000 0.000
```

Values from the calculation:
Size of the total moment, μB per cell: 1.48
Polymorph energy (0 for the lowest one), eV/f.u.: 0.00
Energy relative to the elements, uncorrected, eV/atom: -0.28
Calculated total energy, eV/atom: -3.946

---

Entry 10:
Compound: KPtS2
Source: Alexandria
Functional: PBE-GGA
Structure: optimized geometry

Structure (POSCAR):
```
KPtS2
1.0
-0.958 -6.023 -4.171
2.512 -4.221 5.518
-2.514 -5.458 1.915
K S Pt
2 4 2
direct
0.250 0.750 0.500
0.500 0.500 0.000
0.728 0.125 0.250
0.875 0.978 0.750
0.375 0.272 0.750
0.022 0.625 0.250
0.750 0.250 0.500
0.000 0.000 0.000
```

Values from the calculation:
Size of the total moment, μB per cell: 0.00
Energy relative to the elements, uncorrected, eV/atom: -0.54
Calculated total energy, eV/atom: -4.388

---

Entry 11:
Compound: KPtS3
Source: Alexandria
Functional: PBE-GGA
Structure: optimized geometry

Structure (POSCAR):
```
KPtS3
1.0
-1.730 2.153 3.990
2.953 -2.706 2.740
3.440 3.405 -0.346
S K Pt
3 1 1
direct
0.000 0.500 0.000
0.500 0.000 0.000
0.000 0.000 0.500
0.500 0.500 0.500
0.000 0.000 0.000
```

Values from the calculation:
Size of the total moment, μB per cell: 1.97
Polymorph energy (0 for the lowest one), eV/f.u.: 1.77
Energy relative to the elements, uncorrected, eV/atom: -0.04
Calculated total energy, eV/atom: -3.942

---

Entry 12:
Compound: KSb2PtS
Source: Alexandria
Functional: PBE-GGA
Structure: optimized geometry

Structure (POSCAR):
```
KSb2PtS
1.0
5.171 0.000 0.000
0.000 5.394 0.000
0.000 0.000 5.171
Sb Pt S K
2 1 1 1
direct
0.000 0.000 0.500
0.500 0.000 0.000
0.500 0.500 0.500
0.000 0.000 0.000
0.000 0.500 0.000
```

Values from the calculation:
Size of the total moment, μB per cell: 0.00
Energy relative to the elements, uncorrected, eV/atom: 0.48
Calculated total energy, eV/atom: -3.419